# 1
The following is a PBE-GGA calculation of Tc2Ru after structural relaxation, from the Alexandria database.

The structure belongs to space group Pa-3 (No. 205); the cell edges are 5.9324, 5.9324 and 5.9324 Å and the angles 90.00°, 90.00° and 90.00°. The inequivalent atoms are Tc at (0.1122, 0.1122, 0.1122) and Ru at (0.0000, 0.0000, 0.5000).

As for the density of states at the Fermi level: 17.105 states/eV per cell. The calculation puts the energy above the lowest structure with this stoichiometry at 1074 meV per atom. The total energy comes out at -26.93 eV per formula unit. As for the calculated formation energy: 1.027 eV per atom. The calculation puts the density at 9451 kg/m³.

---

# 2
The following is a PBE-GGA calculation of Tc2Ru after structural relaxation, from the Alexandria database.

The structure belongs to space group Cmcm (No. 63); the cell edges are 2.7495, 14.3493 and 4.3553 Å and the angles 90.00°, 90.00° and 90.00°. The inequivalent atoms are Tc at (0.0000, 0.0552, 0.2500), Tc at (0.0000, 0.3870, 0.2500) and Ru at (0.0000, 0.2775, 0.7500).

As for the density of states at the Fermi level: 12.469 states/eV per cell. The calculation puts the energy above the lowest structure with this stoichiometry at 17 meV per atom. The total energy comes out at -30.10 eV per formula unit. As for the calculated formation energy: -0.030 eV per atom. The calculation puts the density at 11483 kg/m³.